Record 1
Below is crystalline MgAlPd3 at its relaxed geometry, with properties calculated at the PBE level.

abc: 5.528 6.854 8.576
angles: 82.48 90.00 90.00
Fractional positions:
Pd  0.993  0.200  0.153
Pd  0.008  0.800  0.347
Pd  0.750  0.429  0.385
Pd  0.007  0.800  0.847
Pd  0.250  0.571  0.115
Pd  0.508  0.200  0.153
Pd  0.492  0.800  0.847
Pd  0.992  0.200  0.653
Pd  0.507  0.200  0.653
Pd  0.493  0.800  0.347
Pd  0.750  0.429  0.885
Pd  0.250  0.571  0.615
Mg  0.250  0.350  0.388
Mg  0.750  0.650  0.612
Mg  0.750  0.650  0.112
Mg  0.250  0.350  0.888
Al  0.750  0.071  0.919
Al  0.250  0.929  0.581
Al  0.750  0.071  0.419
Al  0.250  0.929  0.081

Values from the calculation:
symmetry: P2_1/m (11)
formation enthalpy at 0 K: -0.666 eV per atom


Record 2
Below is crystalline LaSeCl3 at its relaxed geometry, with properties calculated at the PBE level.

abc: 5.595 5.595 5.595
angles: 90.00 90.00 90.00
Site moments in Bohr magnetons follow the coordinates.
Fractional positions:
Cl  0.000  0.500  0.000  0.02
Cl  0.500  0.000  0.000  0.04
Cl  0.000  0.000  0.500  0.04
La  0.000  0.000  0.000  0.00
Se  0.500  0.500  0.500  1.10

Values from the calculation:
symmetry: Pm-3m (221)
formation energy from raw total energies: -1.35 eV per atom


Record 3
Below is crystalline La2Nd4Tm3 at its relaxed geometry, with properties calculated at the PBE level.

abc: 6.324 5.137 10.883
angles: 89.99 72.79 66.07
Fractional positions:
Nd  0.004  0.998  0.665
Nd  0.667  0.666  0.888
Nd  0.333  0.334  0.112
Nd  0.996  0.002  0.335
Tm  0.671  0.665  0.554
Tm  0.000  0.000  0.000
Tm  0.329  0.335  0.446
La  0.667  0.666  0.225
La  0.333  0.334  0.775

Values from the calculation:
symmetry: C2/m (12)
formation enthalpy at 0 K: 0.027 eV per atom


Record 4
Below is crystalline Pm5MgPt6 at its relaxed geometry, with properties calculated at the PBE level.

abc: 5.038 7.030 8.658
angles: 66.05 73.11 89.99
Fractional positions:
Pt  0.500  0.268  0.000
Pt  0.165  0.917  0.670
Pt  0.835  0.587  0.330
Pt  0.835  0.083  0.330
Pt  0.500  0.732  0.000
Pt  0.165  0.413  0.670
Pm  0.000  0.500  0.000
Pm  0.671  0.671  0.657
Pm  0.329  0.329  0.343
Pm  0.346  0.846  0.308
Pm  0.654  0.154  0.692
Mg  0.000  0.000  0.000

Values from the calculation:
symmetry: Immm (71)
formation enthalpy at 0 K: -1.037 eV per atom


Record 5
Below is crystalline Nd2Si2O7 at its relaxed geometry, with properties calculated at the PBE level.

abc: 5.417 8.685 13.078
angles: 90.00 90.00 90.00
Fractional positions:
Si  0.982  0.753  0.321
Si  0.520  0.996  0.975
Si  0.480  0.496  0.525
Si  0.020  0.504  0.025
Si  0.518  0.247  0.821
Si  0.482  0.747  0.679
Si  0.980  0.004  0.475
Si  0.018  0.253  0.179
O  0.408  0.929  0.675
O  0.766  0.597  0.060
O  0.512  0.175  0.937
O  0.249  0.605  0.076
O  0.742  0.717  0.739
O  0.734  0.403  0.560
O  0.488  0.675  0.563
O  0.258  0.217  0.761
O  0.426  0.485  0.404
O  0.266  0.903  0.940
O  0.756  0.826  0.253
O  0.744  0.174  0.753
O  0.926  0.015  0.596
O  0.244  0.326  0.247
O  0.749  0.895  0.924
O  0.092  0.071  0.175
O  0.574  0.985  0.096
O  0.988  0.825  0.437
O  0.012  0.325  0.063
O  0.758  0.283  0.239
O  0.592  0.429  0.825
O  0.251  0.395  0.576
O  0.908  0.571  0.325
O  0.751  0.105  0.424
O  0.234  0.097  0.440
O  0.074  0.515  0.904
O  0.242  0.783  0.261
O  0.256  0.674  0.747
Nd  0.984  0.855  0.089
Nd  0.489  0.053  0.268
Nd  0.989  0.447  0.732
Nd  0.516  0.145  0.589
Nd  0.011  0.947  0.768
Nd  0.511  0.553  0.232
Nd  0.484  0.645  0.911
Nd  0.016  0.355  0.411

Values from the calculation:
symmetry: P2_12_12_1 (19)
formation energy from raw total energies: -3.16 eV per atom


Record 6
Below is crystalline LaMgP2O8 at its relaxed geometry, with properties calculated at the PBE level.

abc: 5.169 5.169 6.939
angles: 90.00 90.00 120.00
Site moments in Bohr magnetons follow the coordinates.
Fractional positions:
P  0.333  0.667  0.770  -0.01
P  0.667  0.333  0.230  -0.01
O  0.829  0.169  0.300  0.10
O  0.831  0.660  0.300  0.10
O  0.660  0.829  0.700  0.10
O  0.340  0.171  0.300  0.10
O  0.169  0.340  0.700  0.10
O  0.667  0.333  0.007  0.08
O  0.333  0.667  0.993  0.08
O  0.171  0.831  0.700  0.10
La  0.000  0.000  0.000  -0.01
Mg  0.000  0.000  0.500  0.00

Values from the calculation:
symmetry: P-3m1 (164)
formation energy from raw total energies: -2.58 eV per atom


Record 7
Below is crystalline Ac2LaPu at its relaxed geometry, with properties calculated at the PBE level.

abc: 3.824 3.824 10.534
angles: 90.00 90.00 90.00
Site moments in Bohr magnetons follow the coordinates.
Fractional positions:
Ac  0.000  0.000  0.761  -0.09
Ac  0.000  0.000  0.239  -0.09
La  0.500  0.500  0.500  0.07
Pu  0.500  0.500  0.000  -5.71

Values from the calculation:
symmetry: P4/mmm (123)
formation enthalpy at 0 K: 0.153 eV per atom


Record 8
Below is crystalline Ba2TaTe4 at its relaxed geometry, with properties calculated at the PBE level.

abc: 5.445 5.445 9.591
angles: 73.51 73.51 90.00
Site moments in Bohr magnetons follow the coordinates.
Fractional positions:
Te  0.000  0.500  0.000  -0.01
Te  0.165  0.165  0.671  0.01
Te  0.835  0.835  0.329  0.01
Te  0.500  0.000  0.000  -0.01
Ta  0.000  0.000  0.000  0.15
Ba  0.360  0.360  0.280  0.00
Ba  0.640  0.640  0.720  0.00

Values from the calculation:
symmetry: I4/mmm (139)
formation energy from raw total energies: -0.97 eV per atom